## 1
The following is a PBE calculation of a relaxed LiSbBr2 crystal, from Alexandria via LeMat-Bulk.

Summary:
Density in Mg/m³: 4.9
Total magnetization in μB per formula unit: 0.0
Density of states at the Fermi level in states/eV per cell: 1.5

The structure in CIF format:
```
data_LiSbBr2
_symmetry_space_group_name_H-M 'P 1'
_symmetry_Int_Tables_number 1
_symmetry_space_group_name_Hall 'P 1'
_cell_length_a 3.409
_cell_length_b 3.410
_cell_length_c 8.404
_cell_angle_alpha 90.00
_cell_angle_beta 90.00
_cell_angle_gamma 90.00
loop_
_atom_site_label
_atom_site_type_symbol
_atom_site_fract_x
_atom_site_fract_y
_atom_site_fract_z
Br1 Br 0.000 0.000 0.047
Br2 Br 0.000 0.000 0.453
Li1 Li 0.500 0.500 0.250
Sb1 Sb 0.500 0.500 0.750
```

***

## 2
The following is a PBE calculation of a relaxed LiSbBr2 crystal, from Alexandria via LeMat-Bulk.

Summary:
Density in Mg/m³: 4.6
Total magnetization in μB per formula unit: 0.0
Density of states at the Fermi level in states/eV per cell: 3.2

The structure in CIF format:
```
data_LiSbBr2
_symmetry_space_group_name_H-M 'P 1'
_symmetry_Int_Tables_number 1
_symmetry_space_group_name_Hall 'P 1'
_cell_length_a 5.278
_cell_length_b 5.278
_cell_length_c 5.278
_cell_angle_alpha 60.00
_cell_angle_beta 60.00
_cell_angle_gamma 60.00
loop_
_atom_site_label
_atom_site_type_symbol
_atom_site_fract_x
_atom_site_fract_y
_atom_site_fract_z
Sb1 Sb 0.500 0.500 0.500
Br1 Br 0.250 0.250 0.250
Br2 Br 0.750 0.750 0.750
Li1 Li 0.000 0.000 0.000
```

***

Stability, highest: 1

***

## 1
The following is a PBE calculation of a relaxed LiSbBr2 crystal, from Alexandria via LeMat-Bulk.

Summary:
Density in Mg/m³: 3.6
Total magnetization in μB per formula unit: 0.6
Density of states at the Fermi level in states/eV per cell: 2.5

The structure in CIF format:
```
data_LiSbBr2
_symmetry_space_group_name_H-M 'P 1'
_symmetry_Int_Tables_number 1
_symmetry_space_group_name_Hall 'P 1'
_cell_length_a 8.416
_cell_length_b 8.416
_cell_length_c 8.416
_cell_angle_alpha 151.86
_cell_angle_beta 151.86
_cell_angle_gamma 40.22
loop_
_atom_site_label
_atom_site_type_symbol
_atom_site_fract_x
_atom_site_fract_y
_atom_site_fract_z
Br1 Br 0.000 0.000 0.000
Br2 Br 0.250 0.750 0.500
Li1 Li 0.500 0.500 0.000
Sb1 Sb 0.750 0.250 0.500
```

***

## 2
The following is a PBE calculation of a relaxed LiSbBr2 crystal, from Alexandria via LeMat-Bulk.

Summary:
Density in Mg/m³: 4.5
Total magnetization in μB per formula unit: 0.8
Density of states at the Fermi level in states/eV per cell: 4.4

The structure in CIF format:
```
data_LiSbBr2
_symmetry_space_group_name_H-M 'P 1'
_symmetry_Int_Tables_number 1
_symmetry_space_group_name_Hall 'P 1'
_cell_length_a 5.315
_cell_length_b 5.315
_cell_length_c 5.315
_cell_angle_alpha 60.00
_cell_angle_beta 60.00
_cell_angle_gamma 60.00
loop_
_atom_site_label
_atom_site_type_symbol
_atom_site_fract_x
_atom_site_fract_y
_atom_site_fract_z
Br1 Br 0.000 0.000 0.000
Br2 Br 0.250 0.250 0.250
Li1 Li 0.500 0.500 0.500
Sb1 Sb 0.750 0.750 0.750
```

***

## 3
The following is a PBE calculation of a relaxed LiSbBr2 crystal, from Alexandria via LeMat-Bulk.

Summary:
Density in Mg/m³: 3.9
Total magnetization in μB per formula unit: 0.7
Density of states at the Fermi level in states/eV per cell: 1.5

The structure in CIF format:
```
data_LiSbBr2
_symmetry_space_group_name_H-M 'P 1'
_symmetry_Int_Tables_number 1
_symmetry_space_group_name_Hall 'P 1'
_cell_length_a 3.730
_cell_length_b 7.508
_cell_length_c 4.435
_cell_angle_alpha 90.00
_cell_angle_beta 90.00
_cell_angle_gamma 90.00
loop_
_atom_site_label
_atom_site_type_symbol
_atom_site_fract_x
_atom_site_fract_y
_atom_site_fract_z
Br1 Br 0.000 0.000 0.000
Br2 Br 0.500 0.500 0.000
Li1 Li 0.500 0.000 0.500
Sb1 Sb 0.000 0.500 0.500
```

***

## 4
The following is a PBE calculation of a relaxed LiSbBr2 crystal, from Alexandria via LeMat-Bulk.

Summary:
Density in Mg/m³: 4.1
Total magnetization in μB per formula unit: 0.0
Density of states at the Fermi level in states/eV per cell: 0.9

The structure in CIF format:
```
data_LiSbBr2
_symmetry_space_group_name_H-M 'P 1'
_symmetry_Int_Tables_number 1
_symmetry_space_group_name_Hall 'P 1'
_cell_length_a 4.019
_cell_length_b 4.584
_cell_length_c 6.327
_cell_angle_alpha 90.00
_cell_angle_beta 90.00
_cell_angle_gamma 90.00
loop_
_atom_site_label
_atom_site_type_symbol
_atom_site_fract_x
_atom_site_fract_y
_atom_site_fract_z
Br1 Br 0.000 0.000 0.843
Br2 Br 0.500 0.500 0.365
Li1 Li 0.000 0.000 0.429
Sb1 Sb 0.500 0.500 0.863
```

***

Stability, highest: 4

***

## 1
The following is a PBE calculation of a relaxed LiSbBr crystal, from Alexandria via LeMat-Bulk.

Summary:
Density in Mg/m³: 4.4
Total magnetization in μB per formula unit: 0.0
Density of states at the Fermi level in states/eV per cell: 2.0

The structure in CIF format:
```
data_LiSbBr
_symmetry_space_group_name_H-M 'P 1'
_symmetry_Int_Tables_number 1
_symmetry_space_group_name_Hall 'P 1'
_cell_length_a 7.176
_cell_length_b 7.176
_cell_length_c 3.414
_cell_angle_alpha 76.24
_cell_angle_beta 76.23
_cell_angle_gamma 27.52
loop_
_atom_site_label
_atom_site_type_symbol
_atom_site_fract_x
_atom_site_fract_y
_atom_site_fract_z
Br1 Br 0.934 0.934 0.066
Li1 Li 0.367 0.367 0.633
Sb1 Sb 0.698 0.698 0.302
```

***

## 2
The following is a PBE calculation of a relaxed LiSbBr crystal, from Alexandria via LeMat-Bulk.

Summary:
Density in Mg/m³: 3.6
Total magnetization in μB per formula unit: 1.0
Density of states at the Fermi level in states/eV per cell: 3.7

The structure in CIF format:
```
data_LiSbBr
_symmetry_space_group_name_H-M 'P 1'
_symmetry_Int_Tables_number 1
_symmetry_space_group_name_Hall 'P 1'
_cell_length_a 5.159
_cell_length_b 5.159
_cell_length_c 5.159
_cell_angle_alpha 60.00
_cell_angle_beta 60.00
_cell_angle_gamma 60.00
loop_
_atom_site_label
_atom_site_type_symbol
_atom_site_fract_x
_atom_site_fract_y
_atom_site_fract_z
Br1 Br 0.000 0.000 0.000
Li1 Li 0.500 0.500 0.500
Sb1 Sb 0.750 0.750 0.750
```

***

Stability, highest: 1

***

## 1
The following is a PBE calculation of a relaxed LiSb3Br crystal, from Alexandria via LeMat-Bulk.

Summary:
Density in Mg/m³: 4.3
Total magnetization in μB per formula unit: 0.0
Density of states at the Fermi level in states/eV per cell: 5.9

The structure in CIF format:
```
data_LiSb3Br
_symmetry_space_group_name_H-M 'P 1'
_symmetry_Int_Tables_number 1
_symmetry_space_group_name_Hall 'P 1'
_cell_length_a 5.584
_cell_length_b 5.584
_cell_length_c 5.584
_cell_angle_alpha 90.00
_cell_angle_beta 90.00
_cell_angle_gamma 90.00
loop_
_atom_site_label
_atom_site_type_symbol
_atom_site_fract_x
_atom_site_fract_y
_atom_site_fract_z
Sb1 Sb 0.000 0.500 0.000
Sb2 Sb 0.000 0.000 0.500
Sb3 Sb 0.500 0.000 0.000
Br1 Br 0.000 0.000 0.000
Li1 Li 0.500 0.500 0.500
```

***

## 2
The following is a PBE calculation of a relaxed LiSb3Br crystal, from Alexandria via LeMat-Bulk.

Summary:
Density in Mg/m³: 5.7
Total magnetization in μB per formula unit: 0.0
Density of states at the Fermi level in states/eV per cell: 6.3

The structure in CIF format:
```
data_LiSb3Br
_symmetry_space_group_name_H-M 'P 1'
_symmetry_Int_Tables_number 1
_symmetry_space_group_name_Hall 'P 1'
_cell_length_a 5.095
_cell_length_b 5.095
_cell_length_c 5.095
_cell_angle_alpha 90.00
_cell_angle_beta 90.00
_cell_angle_gamma 90.00
loop_
_atom_site_label
_atom_site_type_symbol
_atom_site_fract_x
_atom_site_fract_y
_atom_site_fract_z
Sb1 Sb 0.000 0.500 0.000
Sb2 Sb 0.000 0.000 0.500
Sb3 Sb 0.500 0.000 0.000
Br1 Br 0.500 0.500 0.500
Li1 Li 0.000 0.000 0.000
```

***

Stability, highest: 2

***

## 1
The following is a PBE calculation of a relaxed LiSbBr3 crystal, from Alexandria via LeMat-Bulk.

Summary:
Density in Mg/m³: 3.2
Total magnetization in μB per formula unit: 0.0
Density of states at the Fermi level in states/eV per cell: 2.1

The structure in CIF format:
```
data_LiSbBr3
_symmetry_space_group_name_H-M 'P 1'
_symmetry_Int_Tables_number 1
_symmetry_space_group_name_Hall 'P 1'
_cell_length_a 5.760
_cell_length_b 5.760
_cell_length_c 5.760
_cell_angle_alpha 90.00
_cell_angle_beta 90.00
_cell_angle_gamma 90.00
loop_
_atom_site_label
_atom_site_type_symbol
_atom_site_fract_x
_atom_site_fract_y
_atom_site_fract_z
Sb1 Sb 0.000 0.000 0.000
Br1 Br 0.000 0.500 0.000
Br2 Br 0.000 0.000 0.500
Br3 Br 0.500 0.000 0.000
Li1 Li 0.500 0.500 0.500
```

***

## 2
The following is a PBE calculation of a relaxed LiSbBr3 crystal, from Alexandria via LeMat-Bulk.

Summary:
Density in Mg/m³: 3.7
Total magnetization in μB per formula unit: 0.0

The structure in CIF format:
```
data_LiSbBr3
_symmetry_space_group_name_H-M 'P 1'
_symmetry_Int_Tables_number 1
_symmetry_space_group_name_Hall 'P 1'
_cell_length_a 4.218
_cell_length_b 7.646
_cell_length_c 13.650
_cell_angle_alpha 52.35
_cell_angle_beta 74.70
_cell_angle_gamma 85.96
loop_
_atom_site_label
_atom_site_type_symbol
_atom_site_fract_x
_atom_site_fract_y
_atom_site_fract_z
Li1 Li 0.771 0.538 0.199
Li2 Li 0.353 0.060 0.185
Sb1 Sb 0.963 0.494 0.565
Sb2 Sb 0.038 0.226 0.832
Br1 Br 0.254 0.313 0.248
Br2 Br 0.476 0.729 0.585
Br3 Br 0.528 0.198 0.604
Br4 Br 0.611 0.388 0.924
Br5 Br 0.833 0.829 0.234
Br6 Br 0.690 0.855 0.941
```

***

Stability, highest: 2